Material: Tb2Zn12GaCu3
Method: DFT, PBE
State: relaxed

Output
Energy of formation from the pure elements = -0.008 eV/atom
Mass density = 7378 kg/m³
Fermi-level density of states = 7.980 states/eV per cell

abc: 6.758 6.758 6.758
angles: 86.30 86.30 86.30
Sites, in units of the cell vectors:
Tb (0.248, 0.248, 0.248)
Tb (0.752, 0.752, 0.752)
Cu (0.500, 0.000, 0.000)
Cu (0.000, 0.500, 0.000)
Cu (0.000, 0.000, 0.500)
Zn (0.570, 0.154, 0.570)
Zn (0.846, 0.430, 0.430)
Zn (0.801, 0.801, 0.285)
Zn (0.430, 0.430, 0.846)
Zn (0.199, 0.715, 0.199)
Zn (0.430, 0.846, 0.430)
Zn (0.715, 0.199, 0.199)
Zn (0.801, 0.285, 0.801)
Zn (0.199, 0.199, 0.715)
Zn (0.154, 0.570, 0.570)
Zn (0.570, 0.570, 0.154)
Zn (0.285, 0.801, 0.801)
Ga (0.000, 0.000, 0.000)